Entry 1:
Here is PrHo4Se5 after structural relaxation from Alexandria. Energies are from PBE.

## Properties
Volume ... 24.4 Å³ per atom
Total magnetization ... 0.0 μB per formula unit
Formation energy without anion corrections ... -1734 meV per atom

a b c (Å): 4.0822 5.7946 10.8937
angles (deg): 105.42 100.80 90.00
With the nearest neighbours (Å) after each atom.
Positions (direct):
Se  0.0000  0.5000  0.0000  4 Ho 2.88, 2 Pr 2.90
Se  0.6069  0.1069  0.2138  4 Ho 2.85-2.90, 2 Pr 3.00
Se  0.8018  0.3018  0.6037  6 Ho 2.88-2.90
Ho  0.2034  0.2034  0.4068  6 Se 2.85-2.90
Pr  0.0000  0.0000  0.0000  6 Se 2.90-3.00
Se  0.1982  0.6982  0.3963  6 Ho 2.88-2.90
Ho  0.4012  0.4012  0.8025  6 Se 2.88-2.90
Ho  0.7966  0.7966  0.5932  6 Se 2.85-2.90
Se  0.3931  0.8931  0.7862  4 Ho 2.85-2.90, 2 Pr 3.00
Ho  0.5988  0.5988  0.1975  6 Se 2.88-2.90


Entry 2:
Here is La2Sc after structural relaxation from Alexandria. Energies are from PBE.

## Properties
Volume ... 32.6 Å³ per atom
Total magnetization ... 0.0 μB per formula unit
Energy relative to the lowest polymorph listed for this composition ... 22 meV per atom

a b c (Å): 6.2975 6.2975 5.6930
angles (deg): 90.00 90.00 120.00
With the nearest neighbours (Å) after each atom.
Positions (direct):
La  0.7034  0.3700  0.0000  6 La 3.45-3.68, 4 Sc 3.48
La  0.3333  0.6300  0.0000  6 La 3.45-3.68, 4 Sc 3.48
La  0.3333  0.0000  0.5000  6 Sc 3.64, 6 La 3.68
Sc  0.0000  0.3333  0.5000  9 La 3.48-3.64, 3 Sc 3.64
La  0.9633  0.0000  0.0000  6 La 3.45-3.68, 4 Sc 3.48
Sc  0.6667  0.6667  0.5000  9 La 3.48-3.64, 3 Sc 3.64


Entry 3:
Here is Y2ErSc2 after structural relaxation from Alexandria. Energies are from PBE.

## Properties
Volume ... 31.0 Å³ per atom
Total magnetization ... 0.0 μB per formula unit
Energy relative to the lowest polymorph listed for this composition ... 192 meV per atom

a b c (Å): 8.5675 8.5675 5.7049
angles (deg): 117.07 117.07 94.46
With the nearest neighbours (Å) after each atom.
Positions (direct):
Y  0.7682  0.6002  0.4917  3 Y 3.18-3.55, 5 Sc 3.21-3.53, 2 Er 3.31-3.48
Sc  0.6663  0.3337  0.7500  1 Er 3.34, 2 Sc 3.35, 6 Y 3.38-3.53
Er  0.9315  0.0685  0.7500  4 Sc 3.26-3.34, 4 Y 3.31-3.48, 2 Er 3.33
Er  0.0685  0.9315  0.2500  4 Sc 3.26-3.34, 4 Y 3.31-3.48, 2 Er 3.33
Sc  0.1939  0.8061  0.7500  4 Y 3.21-3.22, 3 Er 3.26-3.30, 2 Sc 3.35
Y  0.3998  0.2318  0.0083  3 Y 3.18-3.55, 5 Sc 3.21-3.53, 2 Er 3.31-3.48
Y  0.6002  0.7682  0.9917  3 Y 3.18-3.55, 5 Sc 3.21-3.53, 2 Er 3.31-3.48
Sc  0.8061  0.1939  0.2500  4 Y 3.21-3.22, 3 Er 3.26-3.30, 2 Sc 3.35
Y  0.2318  0.3998  0.5083  3 Y 3.18-3.55, 5 Sc 3.21-3.53, 2 Er 3.31-3.48
Sc  0.3337  0.6663  0.2500  1 Er 3.34, 2 Sc 3.35, 6 Y 3.38-3.53


Entry 4:
Here is MnGaMoP after structural relaxation from Alexandria. Energies are from PBE.

## Properties
Volume ... 13.2 Å³ per atom
Total magnetization ... 0.2 μB per formula unit
Energy relative to the lowest polymorph listed for this composition ... 114 meV per atom

a b c (Å): 2.8748 2.8748 6.3731
angles (deg): 90.00 90.00 90.00
With the nearest neighbours (Å) after each atom.
Positions (direct):
Mo  0.5000  0.5000  0.2777  4 P 2.58, 1 Mn 2.72, 4 Ga 2.81, 4 Mo 2.87
Mn  0.5000  0.5000  0.8513  4 P 2.32
P  0.0000  0.0000  0.0279  4 Mn 2.32, 4 Mo 2.58
Ga  0.0000  0.0000  0.5815  4 Mn 2.66, 4 Mo 2.81, 1 P 2.85, 4 Ga 2.87


Entry 5:
Here is Tm2Si3Ir after structural relaxation from Alexandria. Energies are from PBE.

## Properties
Volume ... 18.0 Å³ per atom
Total magnetization ... 0.0 μB per formula unit
Energy relative to the lowest polymorph listed for this composition ... 89 meV per atom
Formation energy without anion corrections ... -812 meV per atom

a b c (Å): 4.2149 5.4444 5.5683
angles (deg): 75.58 67.76 67.23
With the nearest neighbours (Å) after each atom.
Positions (direct):
Tm  0.5502  0.1883  0.7113  9 Si 2.94-3.13, 3 Ir 3.15-3.21
Tm  0.4354  0.8108  0.3184  3 Ir 2.89-3.00, 8 Si 2.91-3.16
Ir  0.1651  0.3909  0.2789  4 Si 2.41-2.48
Si  0.1686  0.7554  0.9074  1 Ir 2.48, 2 Si 2.59
Si  0.8620  0.6004  0.6757  1 Ir 2.41, 3 Si 2.59-2.66
Si  0.8188  0.2542  0.1083  2 Ir 2.41, 1 Si 2.66


Entry 6:
Here is SrSe2Cl after structural relaxation from Alexandria. Energies are from PBE.

## Properties
Volume ... 29.0 Å³ per atom
Total magnetization ... 0.0 μB per formula unit
Energy relative to the lowest polymorph listed for this composition ... 23 meV per atom
Formation energy without anion corrections ... -1262 meV per atom

a b c (Å): 4.3850 4.3850 12.4444
angles (deg): 79.85 79.85 90.00
With the nearest neighbours (Å) after each atom.
Positions (direct):
Sr  0.0000  0.0000  0.0000  4 Cl 3.10, 4 Se 3.26
Sr  0.7500  0.2500  0.5000  4 Cl 3.10, 4 Se 3.26
Se  0.0142  0.6250  0.2500  2 Se 2.51
Se  0.3750  0.2642  0.7500  2 Se 2.51
Cl  0.2500  0.7500  0.5000  4 Sr 3.10
Se  0.7358  0.1250  0.2500  2 Se 2.51
Cl  0.5000  0.5000  0.0000  4 Sr 3.10
Se  0.8750  0.9858  0.7500  2 Se 2.51


Entry 7:
Here is SbH36S4N11 after structural relaxation from Alexandria. Energies are from PBE.

## Properties
Volume ... 10.4 Å³ per atom
Total magnetization ... 0.0 μB per formula unit
Calculated total energy ... -4.85 eV/atom

a b c (Å): 8.6494 9.8942 12.8598
angles (deg): 90.00 90.00 99.96
With the nearest neighbours (Å) after each atom.
Positions (direct):
S  0.2826  0.7629  0.8025  2 H 2.36-2.57, 1 Sb 2.38
H  0.7787  0.6541  0.3093  1 N 1.03
H  0.1219  0.2091  0.4714  1 N 1.03
Sb  0.2871  0.6786  0.6293  4 S 2.36-2.38
H  0.4809  0.8491  0.3883  1 N 1.03
H  0.5192  0.3842  0.3678  1 N 1.03
H  0.5786  0.4476  0.7725  1 N 1.07
H  0.0749  0.2531  0.1653  1 N 1.05
N  0.4483  0.4550  0.3843  3 H 1.02-1.03
H  0.8085  0.5301  0.5260  1 N 1.02
N  0.4317  0.6245  0.2095  4 H 1.04-1.07
H  0.1061  0.2665  0.9015  1 N 1.03
N  0.7952  0.7378  0.3579  3 H 1.03
N  0.0843  0.1375  0.4152  3 H 1.03
H  0.1482  0.2132  0.2840  1 N 1.05
H  0.1884  0.9569  0.7375  1 N 1.04
H  0.4808  0.6158  0.8678  1 N 1.03
H  0.2183  0.8941  0.1930  1 N 1.02
H  0.5284  0.0213  0.8095  1 N 1.03
H  0.1434  0.8808  0.0757  1 N 1.02
H  0.9079  0.9569  0.9457  1 N 1.03
S  0.8906  0.2207  0.0282  2 H 2.36-2.46, 1 Sb 2.36
H  0.2708  0.2870  0.1857  1 N 1.04
N  0.1684  0.0505  0.7081  4 H 1.04-1.07
N  0.8383  0.0560  0.6390  3 H 1.02-1.03
H  0.9466  0.9592  0.1797  1 N 1.05
H  0.5289  0.1297  0.5948  1 N 1.02
H  0.4938  0.4757  0.9368  1 N 1.03
H  0.2514  0.0774  0.6482  1 N 1.06
H  0.8566  0.1192  0.5757  1 N 1.02
H  0.2213  0.3459  0.8093  1 N 1.03
H  0.4716  0.9787  0.3095  1 N 1.03
H  0.1915  0.4699  0.0260  1 N 1.02
H  0.6883  0.1140  0.8608  1 N 1.03
H  0.8518  0.7868  0.7840  1 N 1.05
H  0.0343  0.5508  0.8455  1 N 1.03
H  0.1848  0.1268  0.7682  1 N 1.07
H  0.5390  0.6208  0.1738  1 N 1.04
N  0.5683  0.3755  0.7095  4 H 1.04-1.07
H  0.3520  0.4072  0.4246  1 N 1.02
H  0.7486  0.9226  0.1482  1 N 1.06
H  0.4304  0.7217  0.2421  1 N 1.05
H  0.0534  0.0408  0.6797  1 N 1.05
H  0.8555  0.6205  0.7531  1 N 1.07
N  0.2048  0.2622  0.8579  3 H 1.03
S  0.2149  0.4365  0.6212  1 Sb 2.37, 3 H 2.39-2.62
H  0.8939  0.7335  0.4015  1 N 1.03
H  0.1445  0.3795  0.2531  1 N 1.07
N  0.9372  0.4898  0.8143  3 H 1.03
N  0.1617  0.2828  0.2214  4 H 1.04-1.07
H  0.6480  0.5928  0.9246  1 N 1.02
H  0.2225  0.6270  0.9821  1 N 1.03
H  0.7028  0.7283  0.4092  1 N 1.03
S  0.1094  0.7793  0.5282  2 H 2.36-2.46, 1 Sb 2.36
H  0.5696  0.2783  0.7421  1 N 1.05
H  0.8152  0.8732  0.2682  1 N 1.07
H  0.5729  0.0042  0.0388  1 N 1.03
H  0.0319  0.8589  0.9017  1 N 1.03
H  0.9681  0.1411  0.4017  1 N 1.03
N  0.8383  0.7172  0.7214  4 H 1.04-1.07
H  0.7775  0.3730  0.4821  1 N 1.03
H  0.9251  0.7469  0.6653  1 N 1.05
H  0.7817  0.1059  0.6930  1 N 1.02
H  0.9657  0.4492  0.3455  1 N 1.03
Sb  0.7129  0.3214  0.1293  4 S 2.36-2.38
H  0.2414  0.0282  0.1162  1 N 1.03
H  0.9218  0.4250  0.5653  1 N 1.03
H  0.2972  0.2717  0.9092  1 N 1.03
H  0.3117  0.8860  0.3608  1 N 1.03
N  0.8066  0.4303  0.5482  3 H 1.02-1.03
H  0.5062  0.5243  0.4368  1 N 1.03
H  0.4271  0.9958  0.5388  1 N 1.03
N  0.8316  0.9495  0.2081  4 H 1.04-1.07
N  0.5747  0.9034  0.0570  3 H 1.02-1.03
H  0.3405  0.6016  0.1537  1 N 1.06
S  0.5453  0.7466  0.5648  2 H 2.29-2.44, 1 Sb 2.37
H  0.8116  0.0431  0.2375  1 N 1.04
H  0.9826  0.4346  0.7578  1 N 1.03
S  0.7851  0.5635  0.1212  1 Sb 2.37, 3 H 2.39-2.62
N  0.1617  0.9440  0.1390  3 H 1.02-1.03
N  0.4253  0.0966  0.5570  3 H 1.02-1.03
H  0.7586  0.9718  0.6162  1 N 1.03
H  0.4325  0.1489  0.4880  1 N 1.02
H  0.1097  0.5768  0.3717  1 N 1.03
H  0.0921  0.0431  0.4457  1 N 1.03
H  0.0174  0.5654  0.2578  1 N 1.03
H  0.0782  0.5750  0.0653  1 N 1.03
H  0.8781  0.7909  0.9714  1 N 1.03
H  0.5675  0.8511  0.9880  1 N 1.02
N  0.0628  0.5102  0.3143  3 H 1.03
H  0.4610  0.3792  0.6738  1 N 1.04
N  0.5517  0.5450  0.8843  3 H 1.02-1.03
H  0.6595  0.3984  0.6537  1 N 1.06
S  0.4547  0.2534  0.0648  2 H 2.29-2.44, 1 Sb 2.37
H  0.8903  0.4232  0.8717  1 N 1.03
H  0.4711  0.8703  0.0948  1 N 1.02
S  0.7174  0.2371  0.3025  2 H 2.36-2.57, 1 Sb 2.38
N  0.4183  0.8805  0.3273  3 H 1.03
H  0.5191  0.1509  0.8883  1 N 1.03
N  0.5817  0.1195  0.8273  3 H 1.03
H  0.7292  0.7130  0.6857  1 N 1.04
N  0.9157  0.8625  0.9152  3 H 1.03
H  0.4214  0.5524  0.2725  1 N 1.07
N  0.1934  0.5697  0.0482  3 H 1.02-1.03


Entry 8:
Here is Li3OsC after structural relaxation from Alexandria. Energies are from PBE.

## Properties
Volume ... 11.6 Å³ per atom
Total magnetization ... 1.2 μB per formula unit
Energy relative to the lowest polymorph listed for this composition ... 0 meV per atom

a b c (Å): 3.8691 3.8691 3.8691
angles (deg): 90.00 90.00 90.00
With the nearest neighbours (Å) after each atom.
Positions (direct):
Os  0.5000  0.5000  0.5000  12 Li 2.74
Li  0.0000  0.0000  0.5000  2 C 1.93
Li  0.0000  0.5000  0.0000  2 C 1.93
C  0.0000  0.0000  0.0000  6 Li 1.93
Li  0.5000  0.0000  0.0000  2 C 1.93


Entry 9:
Here is Rb2SbSe3 after structural relaxation from Alexandria. Energies are from PBE.

## Properties
Volume ... 37.6 Å³ per atom
Total magnetization ... 0.0 μB per formula unit
Energy relative to the lowest polymorph listed for this composition ... 22 meV per atom
Formation energy without anion corrections ... -749 meV per atom

a b c (Å): 7.3688 8.1658 8.1658
angles (deg): 67.27 85.25 85.25
With the nearest neighbours (Å) after each atom.
Positions (direct):
Se  0.4878  0.1632  0.1238  2 Sb 2.75-2.80
Rb  0.1994  0.5063  0.1833  6 Se 3.51-3.75
Rb  0.8006  0.4937  0.8167  6 Se 3.51-3.75
Se  0.9878  0.1238  0.1632  2 Sb 2.75-2.80
Sb  0.7500  0.9243  0.0757  5 Se 2.54-2.80
Rb  0.6994  0.1833  0.5063  6 Se 3.51-3.75
Se  0.5122  0.8368  0.8762  2 Sb 2.75-2.80
Se  0.7500  0.6433  0.3567  1 Sb 2.54
Se  0.0122  0.8762  0.8368  2 Sb 2.75-2.80
Se  0.2500  0.3567  0.6433  1 Sb 2.54
Sb  0.2500  0.0757  0.9243  5 Se 2.54-2.80
Rb  0.3006  0.8167  0.4937  6 Se 3.51-3.75


Entry 10:
Here is TcPt2Br after structural relaxation from Alexandria. Energies are from PBE.

## Properties
Volume ... 17.5 Å³ per atom
Total magnetization ... 0.8 μB per formula unit
Energy relative to the lowest polymorph listed for this composition ... 324 meV per atom
Formation energy without anion corrections ... 534 meV per atom

a b c (Å): 2.8647 2.8647 9.9307
angles (deg): 90.00 90.00 120.57
With the nearest neighbours (Å) after each atom.
Positions (direct):
Br  0.5000  0.5000  0.7148  2 Tc 2.62, 6 Br 2.84-2.86
Pt  0.0000  0.0000  0.0246  8 Pt 2.80-2.86
Tc  0.0000  0.0000  0.4935  2 Br 2.62, 2 Pt 2.66, 6 Tc 2.84-2.86
Pt  0.5000  0.5000  0.2672  2 Tc 2.66, 8 Pt 2.80-2.86